Entry 1:
{
  "formula": "CsTe2SeN",
  "functional": "PBE-GGA",
  "state": "relaxed",
  "final_energy_ev_per_atom": -1.863,
  "total_magnetization_mub_per_cell": 6.83,
  "volume_a3_per_cell": 245.9,
  "lattice": [[6.5719, 0.0000, 0.0000], [0.0000, 5.6927, 0.0000], [0.0000, 0.0000, 6.5719]],
  "species": ["N", "Te", "Te", "Se", "Cs"],
  "frac_coords": [[0.5000, 0.5000, 0.5000], [0.0000, 0.0000, 0.5000], [0.5000, 0.0000, 0.0000], [0.0000, 0.5000, 0.0000], [0.0000, 0.0000, 0.0000]]
}



Entry 2:
{
  "formula": "CsTiSeN2",
  "functional": "PBE-GGA",
  "state": "relaxed",
  "final_energy_ev_per_atom": -3.548,
  "total_magnetization_mub_per_cell": 0.16,
  "volume_a3_per_cell": 112.5,
  "lattice": [[4.1962, 0.0000, 0.0000], [0.0000, 4.1962, 0.0000], [0.0000, 0.0000, 6.3903]],
  "species": ["Cs", "N", "N", "Se", "Ti"],
  "frac_coords": [[0.0000, 0.0000, 0.0000], [0.5000, 0.0000, 0.0000], [0.0000, 0.5000, 0.0000], [0.0000, 0.0000, 0.5000], [0.5000, 0.5000, 0.5000]]
}



Entry 3:
{
  "formula": "CsTiSeN2",
  "functional": "PBE-GGA",
  "state": "relaxed",
  "final_energy_ev_per_atom": -5.480,
  "total_magnetization_mub_per_cell": 0.00,
  "volume_a3_per_cell": 94.0,
  "lattice": [[4.2041, 0.0000, 0.0000], [0.0000, 4.2041, 0.0000], [0.0000, 0.0000, 5.3209]],
  "species": ["N", "N", "Ti", "Se", "Cs"],
  "frac_coords": [[0.0000, 0.5000, 0.0000], [0.5000, 0.0000, 0.0000], [0.0000, 0.0000, 0.0000], [0.0000, 0.0000, 0.5000], [0.5000, 0.5000, 0.5000]]
}



Repeat the second record exactly.
{
  "formula": "CsTiSeN2",
  "functional": "PBE-GGA",
  "state": "relaxed",
  "final_energy_ev_per_atom": -3.548,
  "total_magnetization_mub_per_cell": 0.16,
  "volume_a3_per_cell": 112.5,
  "lattice": [[4.1962, 0.0000, 0.0000], [0.0000, 4.1962, 0.0000], [0.0000, 0.0000, 6.3903]],
  "species": ["Cs", "N", "N", "Se", "Ti"],
  "frac_coords": [[0.0000, 0.0000, 0.0000], [0.5000, 0.0000, 0.0000], [0.0000, 0.5000, 0.0000], [0.0000, 0.0000, 0.5000], [0.5000, 0.5000, 0.5000]]
}